Below is a relaxed structure of Cr3Re, with properties calculated at the GGA-PBE level.

Cell and atoms, written as CIF:
```
data_Cr3Re
_chemical_formula_sum 'Cr3 Re1'
_symmetry_space_group_name_H-M 'P m -3 m'
_symmetry_Int_Tables_number 221
_symmetry_space_group_name_Hall '-P 4 2 3'
_cell_length_a 3.7080
_cell_length_b 3.7080
_cell_length_c 3.7080
_cell_angle_alpha 90.00
_cell_angle_beta 90.00
_cell_angle_gamma 90.00
loop_
_atom_site_label
_atom_site_type_symbol
_atom_site_fract_x
_atom_site_fract_y
_atom_site_fract_z
_atom_site_occupancy
Cr1 Cr 0.0000 0.0000 0.5000 1
Re1 Re 0.5000 0.5000 0.5000 1
```

Values from the calculation:
DFT total energy   -10.054 eV/atom
Mass density   11.15 g cm⁻³
Energy of formation from the pure elements   0.2760 eV per atom